Compound: PmThCrN3
Source: Alexandria via LeMat-Bulk
Functional: GGA-PBE
Structure: relaxed

Properties
Total magnetic moment, Bohr magnetons per cell: 0.000
Mass density, g/cm³: 7.75
Raw total energy, eV/atom: -8.919

Cell: 3.6368 7.1708 7.7542 Å, 93.62 90.00 90.00°
With the nearest neighbours (Å) after each atom.
Sites, in units of the cell vectors:
N 0.2500 0.8699 0.4284  3 Cr 1.85-1.87
N 0.7500 0.3943 0.1292  3 Th 2.37-2.51, 2 Pm 2.60
N 0.2500 0.1246 0.8527  1 Cr 2.05
N 0.7500 0.8754 0.1473  1 Cr 2.05
N 0.2500 0.6057 0.8708  3 Th 2.37-2.51, 2 Pm 2.60
N 0.7500 0.1301 0.5716  3 Cr 1.85-1.87
Cr 0.7500 0.9289 0.4104  4 N 1.85-2.05
Cr 0.2500 0.0711 0.5896  4 N 1.85-2.05
Th 0.7500 0.3664 0.8227  6 N 2.37-2.53
Th 0.2500 0.6336 0.1773  6 N 2.37-2.53
Pm 0.7500 0.8603 0.8382  5 N 2.39-2.62
Pm 0.2500 0.1397 0.1618  5 N 2.39-2.62

***

Compound: PmThCrN4
Source: Alexandria via LeMat-Bulk
Functional: GGA-PBE
Structure: relaxed

Properties
Total magnetic moment, Bohr magnetons per cell: 0.006
Mass density, g/cm³: 7.82
Raw total energy, eV/atom: -8.954

Cell: 5.8126 5.4205 6.8691 Å, 90.00 107.80 90.00°
With the nearest neighbours (Å) after each atom.
Sites, in units of the cell vectors:
Pm 0.7114 0.7500 0.9271  6 N 2.51-2.78
Pm 0.2886 0.2500 0.0729  6 N 2.51-2.78
N 0.4048 0.7500 0.5590  1 Cr 1.78
N 0.5952 0.2500 0.4410  1 Cr 1.78
N 0.0301 0.5032 0.2547  1 Cr 1.74
N 0.5701 0.2500 0.8596  1 Cr 1.79
N 0.4299 0.7500 0.1404  1 Cr 1.79
N 0.9699 0.4968 0.7453  1 Cr 1.74
N 0.0301 0.9968 0.2547  1 Cr 1.74
N 0.9699 0.0032 0.7453  1 Cr 1.74
Cr 0.7682 0.2500 0.7045  4 N 1.74-1.79
Cr 0.2318 0.7500 0.2955  4 N 1.74-1.79
Th 0.7733 0.7500 0.4460  6 N 2.41-2.64
Th 0.2267 0.2500 0.5540  6 N 2.41-2.64

***

Compound: PmTmCrN4
Source: Alexandria via LeMat-Bulk
Functional: GGA-PBE
Structure: relaxed

Properties
Total magnetic moment, Bohr magnetons per cell: 0.000
Mass density, g/cm³: 7.23
Raw total energy, eV/atom: -8.571

Cell: 5.5243 5.4903 6.7191 Å, 90.00 107.98 90.00°
With the nearest neighbours (Å) after each atom.
Sites, in units of the cell vectors:
N 0.9675 0.4949 0.7426  1 Cr 1.75
N 0.4250 0.7500 0.5676  1 Cr 1.70
N 0.5750 0.2500 0.4324  1 Cr 1.70
N 0.4468 0.7500 0.1548  1 Cr 1.74
N 0.9675 0.0051 0.7426  1 Cr 1.75
N 0.0325 0.9949 0.2574  1 Cr 1.75
N 0.5532 0.2500 0.8452  1 Cr 1.74
N 0.0325 0.5051 0.2574  1 Cr 1.75
Pm 0.7274 0.7500 0.9345  6 N 2.45-2.66
Pm 0.2726 0.2500 0.0655  6 N 2.45-2.66
Tm 0.2004 0.2500 0.5383  6 N 2.30-2.54
Tm 0.7996 0.7500 0.4617  6 N 2.30-2.54
Cr 0.7533 0.2500 0.6887  4 N 1.70-1.75
Cr 0.2467 0.7500 0.3113  4 N 1.70-1.75

***

Compound: PmU2CrN4
Source: Alexandria via LeMat-Bulk
Functional: GGA-PBE
Structure: relaxed

Properties
Total magnetic moment, Bohr magnetons per cell: 1.537
Mass density, g/cm³: 11.01
Raw total energy, eV/atom: -9.950

Cell: 3.3555 6.0247 11.3235 Å, 90.00 90.00 106.17°
With the nearest neighbours (Å) after each atom.
Sites, in units of the cell vectors:
N 0.0000 0.0000 0.5000  4 U 2.36
N 0.5591 0.1183 0.2500  2 Cr 2.05
N 0.0000 0.0000 0.0000  4 U 2.36
N 0.2693 0.5386 0.3824  1 Cr 1.95
N 0.7307 0.4614 0.8824  1 Cr 1.95
N 0.2693 0.5386 0.1176  1 Cr 1.95
N 0.4409 0.8817 0.7500  2 Cr 2.05
N 0.7307 0.4614 0.6176  1 Cr 1.95
Cr 0.8388 0.6776 0.7500  4 N 1.95-2.05
Cr 0.1612 0.3224 0.2500  4 N 1.95-2.05
U 0.3675 0.7349 0.9448  6 N 2.26-2.41
U 0.6325 0.2651 0.4448  6 N 2.26-2.41
U 0.6325 0.2651 0.0552  6 N 2.26-2.41
U 0.3675 0.7349 0.5552  6 N 2.26-2.41
Pm 0.1008 0.2016 0.7500  6 N 2.50-2.71
Pm 0.8992 0.7984 0.2500  6 N 2.50-2.71

***

Compound: PmUCrN4
Source: Alexandria via LeMat-Bulk
Functional: GGA-PBE
Structure: relaxed

Properties
Total magnetic moment, Bohr magnetons per cell: 0.917
Mass density, g/cm³: 9.58
Raw total energy, eV/atom: -9.464

Cell: 5.1803 5.2783 6.7441 Å, 90.00 112.59 90.00°
With the nearest neighbours (Å) after each atom.
Sites, in units of the cell vectors:
Pm 0.6043 0.7500 0.2086  5 N 2.33-2.59
Pm 0.3957 0.2500 0.7914  5 N 2.33-2.59
U 0.1112 0.2500 0.2224  1 N 2.07
U 0.8888 0.7500 0.7776  1 N 2.07
N 0.9449 0.2500 0.8898  1 U 2.07
N 0.0000 0.0000 0.5000  2 Cr 1.86
N 0.0551 0.7500 0.1102  1 U 2.07
N 0.5000 0.0000 0.5000  2 Cr 1.86
N 0.4170 0.7500 0.8340  1 Cr 1.87
N 0.5830 0.2500 0.1660  1 Cr 1.87
N 0.0000 0.5000 0.5000  2 Cr 1.86
N 0.5000 0.5000 0.5000  2 Cr 1.86
Cr 0.2666 0.7500 0.5332  5 N 1.86-1.87
Cr 0.7334 0.2500 0.4668  5 N 1.86-1.87

***

Compound: Pm2VCrN5
Source: Alexandria via LeMat-Bulk
Functional: GGA-PBE
Structure: relaxed

Properties
Total magnetic moment, Bohr magnetons per cell: 3.871
Mass density, g/cm³: 6.81
Raw total energy, eV/atom: -8.776

Cell: 3.2867 7.0598 10.0060 Å, 90.00 90.00 103.46°
With the nearest neighbours (Å) after each atom.
Sites, in units of the cell vectors:
N 0.5017 0.0034 0.2906  1 V 1.76
N 0.0440 0.0880 0.0304  2 V 1.87
N 0.3443 0.6886 0.0067  1 Cr 1.83
N 0.6846 0.3692 0.8821  1 V 1.82
N 0.2934 0.5868 0.6461  2 Cr 2.00
N 0.4983 0.9966 0.7906  1 V 1.76
N 0.9560 0.9120 0.5304  2 V 1.87
N 0.7066 0.4132 0.1461  2 Cr 2.00
N 0.6557 0.3114 0.5067  1 Cr 1.83
N 0.3154 0.6308 0.3821  1 V 1.82
V 0.4396 0.8793 0.4444  4 N 1.76-1.87
V 0.5604 0.1207 0.9444  4 N 1.76-1.87
Pm 0.1350 0.2700 0.3147  7 N 2.47-2.57
Pm 0.1177 0.2354 0.6772  6 N 2.43-2.66
Pm 0.8823 0.7646 0.1772  6 N 2.43-2.66
Pm 0.8650 0.7300 0.8148  7 N 2.47-2.57
Cr 0.2120 0.4241 0.0317  3 N 1.83-2.00
Cr 0.7880 0.5759 0.5317  3 N 1.83-2.00